1.
Material: Pm4YTl
Method: DFT, GGA-PBE
State: relaxed

a b c (Å): 5.690 6.540 11.049
angles (deg): 90.00 104.92 90.00
Positions (direct):
Pm  0.937  0.217  0.874
Pm  0.063  0.717  0.126
Pm  0.457  0.897  0.914
Pm  0.543  0.397  0.086
Pm  0.687  0.560  0.373
Pm  0.313  0.060  0.627
Pm  0.749  0.093  0.498
Pm  0.251  0.593  0.502
Y  0.864  0.708  0.727
Y  0.136  0.208  0.273
Tl  0.604  0.958  0.208
Tl  0.396  0.458  0.792

Computed properties:
* SG: Cmc2_1
* formation energy from the elements: 2 kJ/mol of formula units
* E_tot: -55.63 eV for the cell shown



2.
Material: K2RbPO4
Method: DFT, GGA-PBE
State: relaxed

a b c (Å): 7.183 7.183 8.516
angles (deg): 126.34 126.35 72.79
Positions (direct):
K  0.500  0.000  0.000
K  0.500  0.000  0.500
K  0.000  0.000  0.500
K  0.500  0.500  0.000
Rb  0.000  0.500  0.000
Rb  0.000  0.500  0.500
P  0.500  0.500  0.500
P  0.000  0.000  0.000
O  0.203  0.817  0.010
O  0.683  0.297  0.490
O  0.317  0.703  0.510
O  0.797  0.183  0.990
O  0.000  0.000  0.193
O  0.500  0.500  0.307
O  0.500  0.500  0.693
O  0.000  0.000  0.807

Computed properties:
* SG: Imma
* formation energy (no corrections): -1.5733 eV per atom
* E_tot: -81.98 eV for the cell shown



3.
Material: Sr2TlCd3Au4
Method: DFT, GGA-PBE
State: relaxed

a b c (Å): 4.912 4.912 10.974
angles (deg): 90.00 90.00 90.00
Positions (direct):
Sr  0.500  0.000  0.231
Sr  0.000  0.500  0.769
Tl  0.500  0.500  0.500
Cd  0.000  0.000  0.500
Cd  0.500  0.000  0.881
Cd  0.000  0.500  0.119
Au  0.500  0.500  0.000
Au  0.000  0.000  0.000
Au  0.500  0.000  0.635
Au  0.000  0.500  0.365

Computed properties:
* SG: P-4m2
* formation energy from the elements: -401 kJ/mol of formula units
* E_tot: -25.75 eV for the cell shown